(1)
First-principles (GGA-PBE) data for an optimized crystal structure of SrYB, as listed in Alexandria.

For the calculated volume, the calculation gives 332.2 Å³ per cell. As for the energy relative to the lowest polymorph listed for this composition: 0 meV per atom. The value obtained for the density of states at the Fermi level is 2.94 states/eV/f.u.

The space group is C2/m (No. 12) and the conventional cell measures 14.579, 3.325 and 6.917 Å, with angles of 90.00, 97.87 and 90.00 degrees. The asymmetric unit holds Sr at (0.081, 0.000, 0.269), Y at (0.179, 0.500, 0.784) and B at (0.248, 0.000, 0.538).

=====

(2)
First-principles (GGA-PBE) data for an optimized crystal structure of LiLa2YIr, as listed in Alexandria.

For the calculated volume, the calculation gives 176.4 Å³ per cell. As for the calculated total energy: -5.682 eV/atom. The value obtained for the density of states at the Fermi level is 4.34 states/eV/f.u.

The space group is P4/mmm (No. 123) and the conventional cell measures 5.634, 5.634 and 5.557 Å, with angles of 90.00, 90.00 and 90.00 degrees. The asymmetric unit holds Li at (0.000, 0.000, 0.000), La at (0.000, 0.500, 0.500), Y at (0.500, 0.500, 0.000) and Ir at (0.500, 0.500, 0.500).